Model i:
# NdTiSe3 (PBE-GGA, relaxed)
data_NdTiSe3
_chemical_formula_sum 'Nd4 Ti4 Se12'
_cell_length_a 9.270
_cell_length_b 7.602
_cell_length_c 8.481
_cell_angle_alpha 90.00
_cell_angle_beta 116.73
_cell_angle_gamma 90.00
_symmetry_space_group_name_H-M 'P 1 21/c 1'
_symmetry_Int_Tables_number 14
_symmetry_space_group_name_Hall '-P 2ybc'
loop_
_atom_site_label
_atom_site_type_symbol
_atom_site_fract_x
_atom_site_fract_y
_atom_site_fract_z
_atom_site_occupancy
Nd1 Nd 0.112 0.216 0.054 1
Ti1 Ti 0.330 0.606 0.922 1
Se1 Se 0.020 0.512 0.793 1
Se2 Se 0.258 0.671 0.610 1
Se3 Se 0.381 0.218 0.448 1
# * calculated volume: 133 Å³/f.u.
# * magnetic moment: 1.01 μB per formula unit

***

Model ii:
# NdTiSe3 (PBE-GGA, relaxed)
data_NdTiSe3
_chemical_formula_sum 'Nd4 Ti4 Se12'
_cell_length_a 8.296
_cell_length_b 3.899
_cell_length_c 13.985
_cell_angle_alpha 90.00
_cell_angle_beta 90.00
_cell_angle_gamma 90.00
_symmetry_space_group_name_H-M 'P n m a'
_symmetry_Int_Tables_number 62
_symmetry_space_group_name_Hall '-P 2ac 2n'
loop_
_atom_site_label
_atom_site_type_symbol
_atom_site_fract_x
_atom_site_fract_y
_atom_site_fract_z
_atom_site_occupancy
Nd1 Nd 0.086 0.250 0.170 1
Ti1 Ti 0.143 0.750 0.454 1
Se1 Se 0.026 0.750 0.619 1
Se2 Se 0.158 0.750 0.007 1
Se3 Se 0.198 0.250 0.791 1
# * calculated volume: 113 Å³/f.u.
# * magnetic moment: 0.82 μB per formula unit

***

model ii comes first in stability; the runner-up is 0.062 eV/atom higher.

***

Model i:
# NdTm6Se8 (PBE-GGA, relaxed)
data_NdTm6Se8
_chemical_formula_sum 'Nd3 Tm18 Se24'
_cell_length_a 8.6088
_cell_length_b 8.6088
_cell_length_c 17.2465
_cell_angle_alpha 90.00
_cell_angle_beta 90.00
_cell_angle_gamma 120.00
_symmetry_space_group_name_H-M 'R -3'
_symmetry_Int_Tables_number 148
_symmetry_space_group_name_Hall '-R 3'
loop_
_atom_site_label
_atom_site_type_symbol
_atom_site_fract_x
_atom_site_fract_y
_atom_site_fract_z
_atom_site_occupancy
Nd1 Nd 0.0000 0.0000 0.0000 1
Tm1 Tm 0.0026 0.3787 0.9213 1
Se1 Se 0.0000 0.0000 0.3259 1
Se2 Se 0.0098 0.2920 0.0926 1
# * calculated volume: 369 Å³/f.u.
# * magnetic moment: 0.00 μB per formula unit

***

Model ii:
# NdTm6Se8 (PBE-GGA, relaxed)
data_NdTm6Se8
_chemical_formula_sum 'Nd4 Tm24 Se32'
_cell_length_a 11.359
_cell_length_b 11.359
_cell_length_c 11.359
_cell_angle_alpha 90.00
_cell_angle_beta 90.00
_cell_angle_gamma 90.00
_symmetry_space_group_name_H-M 'F m -3 m'
_symmetry_Int_Tables_number 225
_symmetry_space_group_name_Hall '-F 4 2 3'
loop_
_atom_site_label
_atom_site_type_symbol
_atom_site_fract_x
_atom_site_fract_y
_atom_site_fract_z
_atom_site_occupancy
Nd1 Nd 0.000 0.000 0.000 1
Tm1 Tm 0.000 0.250 0.250 1
Se1 Se 0.000 0.000 0.262 1
Se2 Se 0.250 0.250 0.250 1
# * calculated volume: 366 Å³/f.u.
# * magnetic moment: 0.00 μB per formula unit

***

model ii comes first in stability; the runner-up is 0.189 eV/atom higher.